DFT (meta-GGA SCAN) results for a crystal of Ag2BrF relaxed with PBEsol.

Summary:
Excess energy over the best structure of this formula in the dataset, eV per atom: 0.0000
Crystal system: tetragonal
Total DFT energy (no corrections), eV/cell: -176.910
E_form (uncorrected), kJ/mol of atoms: -65.6
SG: I-42d
M_tot, μB per formula unit: 0.00

```
8
Lattice="-2.466 1.530 3.905 3.715 -1.305 2.858 2.197 6.308 -4.116" Properties=species:S:1:pos:R:3 pbc="T T T"
Br 3.268 2.558 1.062
Br 0.000 0.000 0.000
Ag -0.032 2.313 3.169
Ag 2.691 1.123 3.226
Ag 2.152 4.969 0.927
Ag 2.080 4.662 -2.029
F 0.177 3.975 1.585
F 0.624 0.113 3.381
```



DFT (meta-GGA SCAN) results for a crystal of Ag2BrF relaxed with PBEsol.

Summary:
Excess energy over the best structure of this formula in the dataset, eV per atom: 0.0374
Crystal system: cubic
Total DFT energy (no corrections), eV/cell: -88.305
E_form (uncorrected), kJ/mol of atoms: -62.0
SG: Fm-3m
M_tot, μB per formula unit: 0.00

```
4
Lattice="-0.674 -4.489 -0.277 1.824 -2.769 3.112 -2.671 -2.089 3.030" Properties=species:S:1:pos:R:3 pbc="T T T"
Br -0.761 -4.674 2.932
Ag -0.380 -2.337 1.466
Ag -1.141 -7.010 4.398
F 0.000 0.000 0.000
```



DFT (meta-GGA SCAN) results for a crystal of FeAgBr2F relaxed with PBEsol.

Summary:
Crystal system: tetragonal
Total DFT energy (no corrections), eV/cell: -96.546
E_form (uncorrected), kJ/mol of atoms: -88.6
SG: P4/mmm
M_tot, μB per formula unit: 4.00

```
5
Lattice="-3.236 -1.940 0.432 2.439 -3.402 2.984 -1.137 2.820 4.145" Properties=species:S:1:pos:R:3 pbc="T T T"
Fe 0.000 0.000 0.000
Ag -0.967 -1.261 3.781
Br -0.569 1.410 2.072
Br 1.219 -1.701 1.492
F -1.618 -0.970 0.216
```



DFT (meta-GGA SCAN) results for a crystal of Ag2IBrF relaxed with PBEsol.

Summary:
Crystal system: tetragonal
Total DFT energy (no corrections), eV/cell: -123.244
E_form (uncorrected), kJ/mol of atoms: -14.8
SG: P4/mmm
M_tot, μB per formula unit: 0.00

```
5
Lattice="4.517 0.000 0.000 0.000 4.517 0.000 0.000 0.000 5.490" Properties=species:S:1:pos:R:3 pbc="T T T"
I 2.258 2.258 2.745
Br 0.000 0.000 2.745
Ag 0.000 2.258 0.000
Ag 2.258 0.000 0.000
F 0.000 0.000 0.000
```



DFT (meta-GGA SCAN) results for a crystal of AgBrOF2 relaxed with PBEsol.

Summary:
Crystal system: tetragonal
Total DFT energy (no corrections), eV/cell: -65.066
E_form (uncorrected), kJ/mol of atoms: -17.9
SG: P4/mmm
M_tot, μB per formula unit: 2.62

```
5
Lattice="4.104 0.000 0.000 0.000 4.196 0.000 0.000 0.000 4.196" Properties=species:S:1:pos:R:3 pbc="T T T"
O 2.052 0.000 0.000
Br 2.052 2.098 2.098
Ag 0.000 0.000 0.000
F 0.000 0.000 2.098
F 0.000 2.098 0.000
```



DFT (meta-GGA SCAN) results for a crystal of AgBrO2F relaxed with PBEsol.

Summary:
Crystal system: tetragonal
Total DFT energy (no corrections), eV/cell: -65.174
E_form (uncorrected), kJ/mol of atoms: 31.9
SG: P4/mmm
M_tot, μB per formula unit: 3.12

```
5
Lattice="-2.279 3.266 -0.597 -2.998 -1.694 2.178 1.515 1.677 3.390" Properties=species:S:1:pos:R:3 pbc="T T T"
O 0.757 0.838 1.695
O -1.499 -0.847 1.089
Br -1.881 1.625 2.485
Ag 0.000 0.000 0.000
F -1.140 1.633 -0.299
```



DFT (meta-GGA SCAN) results for a crystal of AgSe2BrF relaxed with PBEsol.

Summary:
Crystal system: tetragonal
Total DFT energy (no corrections), eV/cell: -93.445
E_form (uncorrected), kJ/mol of atoms: 20.8
SG: P4/mmm
M_tot, μB per formula unit: 0.00

```
5
Lattice="-3.960 1.151 0.886 -0.868 -3.937 1.238 1.768 1.487 5.967" Properties=species:S:1:pos:R:3 pbc="T T T"
Se -0.434 -1.969 0.619
Se -1.980 0.576 0.443
Br 0.884 0.743 2.983
Ag -1.530 -0.650 4.046
F 0.000 0.000 0.000
```



DFT (meta-GGA SCAN) results for a crystal of FeAgBr4 relaxed with PBEsol.

Summary:
Crystal system: cubic
Total DFT energy (no corrections), eV/cell: -121.152
E_form (uncorrected), kJ/mol of atoms: 99.4
SG: F-43m
M_tot, μB per formula unit: 2.23

```
6
Lattice="-2.835 3.202 -4.235 -2.751 -2.807 -4.558 -6.010 -0.068 -0.304" Properties=species:S:1:pos:R:3 pbc="T T T"
Ag 0.000 0.000 0.000
Br -5.766 1.717 -5.525
Br -4.355 0.123 -3.416
Br -7.348 0.089 -3.567
Br -5.725 -1.275 -5.685
Fe -8.698 0.245 -6.822
```